[1]
Material: Al2Ni3
Method: DFT, GGA-PBE
State: relaxed

The structure belongs to space group P-3m1 (No. 164); the cell edges are 3.9437, 3.9437 and 4.8877 Å and the angles 90.00°, 90.00° and 120.00°. The asymmetric unit holds Al at (0.3333, 0.6667, 0.3239), Ni at (0.0000, 0.0000, 0.5000) and Ni at (0.3333, 0.6667, 0.8366).

For the energy of formation from the pure elements, the calculation gives -0.306 eV/atom.

---

[2]
Material: BiSO2
Method: DFT, GGA-PBE
State: relaxed

The structure belongs to space group P1 (No. 1); the cell edges are 4.320, 4.898 and 7.215 Å and the angles 76.08°, 76.82° and 83.39°. The asymmetric unit holds Bi at (0.000, 0.000, 0.000), Bi at (0.337, 0.160, 0.396), S at (0.426, 0.727, 0.202), S at (0.544, 0.465, 0.685), O at (0.412, 0.319, 0.903), O at (0.469, 0.784, 0.678), O at (0.864, 0.179, 0.254) and O at (0.903, 0.406, 0.665).

The calculation puts the uncorrected formation energy at -3.985 eV/f.u.

---

[3]
Material: PPb2W
Method: DFT, GGA-PBE
State: relaxed

The structure belongs to space group C2/m (No. 12); the cell edges are 6.634, 8.525 and 3.057 Å and the angles 90.00°, 94.79° and 90.00°. The asymmetric unit holds P at (0.000, 0.000, 0.000), Pb at (0.250, 0.250, 0.500) and W at (0.000, 0.500, 0.000).

For the energy of formation from the pure elements, the calculation gives 1.007 eV/atom.

---

[4]
Material: AlV12
Method: DFT, GGA-PBE
State: relaxed

The structure belongs to space group Fm-3m (No. 225); the cell edges are 10.072, 10.072 and 10.072 Å and the angles 90.00°, 90.00° and 90.00°. The asymmetric unit holds Al at (0.000, 0.000, 0.000) and V at (0.000, 0.167, 0.333).

For the energy of formation from the pure elements, the calculation gives 1.720 eV/atom.

---

[5]
Material: Tb3PrPu2Te6
Method: DFT, GGA-PBE
State: relaxed

The structure belongs to space group C2/m (No. 12); the cell edges are 19.296, 4.397 and 8.878 Å and the angles 90.00°, 103.66° and 90.00°. The asymmetric unit holds Tb at (0.000, 0.000, 0.000), Tb at (0.164, 0.500, 0.334), Pr at (0.000, 0.000, 0.500), Pu at (0.166, 0.500, 0.833), Te at (0.000, 0.500, 0.241), Te at (0.166, 0.000, 0.086) and Te at (0.170, 0.000, 0.583).

The calculation puts the uncorrected formation energy at -15.379 eV/f.u.

---

[6]
Material: Er8Tl4Se3S
Method: DFT, GGA-PBE
State: relaxed

The structure belongs to space group C2/m (No. 12); the cell edges are 13.440, 7.724 and 9.107 Å and the angles 90.00°, 119.61° and 90.00°. The asymmetric unit holds Er at (0.011, 0.244, 0.288), Er at (0.233, 0.000, 0.712), Er at (0.240, 0.500, 0.718), Tl at (0.000, 0.000, 0.000), Tl at (0.000, 0.500, 0.000), Tl at (0.250, 0.250, 0.000), Se at (0.000, 0.500, 0.500), Se at (0.250, 0.250, 0.500) and S at (0.000, 0.000, 0.500).

The calculation puts the uncorrected formation energy at -16.688 eV/f.u.

---

[7]
Material: KBeFe2
Method: DFT, GGA-PBE
State: relaxed

The structure belongs to space group F-43m (No. 216); the cell edges are 6.381, 6.381 and 6.381 Å and the angles 90.00°, 90.00° and 90.00°. The asymmetric unit holds K at (0.000, 0.000, 0.000), Be at (0.250, 0.250, 0.750), Fe at (0.000, 0.000, 0.500) and Fe at (0.250, 0.250, 0.250).

For the energy of formation from the pure elements, the calculation gives 1.334 eV/atom.

---

[8]
Material: Li3As
Method: DFT, GGA-PBE
State: relaxed

The structure belongs to space group P2/m (No. 10); the cell edges are 3.026, 4.289 and 5.262 Å and the angles 90.00°, 103.21° and 90.00°. The asymmetric unit holds Li at (0.000, 0.000, 0.000), Li at (0.281, 0.500, 0.717) and As at (0.500, 0.000, 0.500).

For the energy of formation from the pure elements, the calculation gives -0.401 eV/atom.

---

[9]
Material: InO
Method: DFT, GGA-PBE
State: relaxed

The structure belongs to space group Fddd (No. 70, origin choice 2); the cell edges are 6.089, 8.948 and 9.094 Å and the angles 90.00°, 90.00° and 90.00°. The asymmetric unit holds In at (0.111, 0.375, 0.375) and O at (0.125, 0.125, 0.461).

The calculation puts the uncorrected formation energy at -2.240 eV/f.u.

---

[10]
Material: AsIrWSe2
Method: DFT, GGA-PBE
State: relaxed

The structure belongs to space group P4/mmm (No. 123); the cell edges are 4.833, 4.833 and 4.653 Å and the angles 90.00°, 90.00° and 90.00°. The asymmetric unit holds As at (0.000, 0.000, 0.000), Ir at (0.000, 0.000, 0.500), W at (0.500, 0.500, 0.000) and Se at (0.000, 0.500, 0.500).

The calculation puts the uncorrected formation energy at 7.068 eV/f.u.

---

[11]
Material: YBePt3
Method: DFT, GGA-PBE
State: relaxed

The structure belongs to space group Imma (No. 74); the cell edges are 5.310, 7.311 and 8.891 Å and the angles 90.00°, 90.00° and 90.00°. The asymmetric unit holds Y at (0.000, 0.000, 0.000), Be at (0.000, 0.250, 0.461), Pt at (0.000, 0.065, 0.663) and Pt at (0.250, 0.250, 0.250).

For the energy of formation from the pure elements, the calculation gives -0.830 eV/atom.

---

[12]
Material: Pm5Dy8Y
Method: DFT, GGA-PBE
State: relaxed

The structure belongs to space group I-4 (No. 82); the cell edges are 9.623, 9.623 and 10.125 Å and the angles 90.00°, 90.00° and 90.00°. The asymmetric unit holds Pm at (0.000, 0.000, 0.000), Pm at (0.110, 0.213, 0.578), Dy at (0.071, 0.325, 0.905), Dy at (0.086, 0.175, 0.247) and Y at (0.000, 0.500, 0.250).

For the energy of formation from the pure elements, the calculation gives 0.240 eV/atom.

---

The evaluated density for the records listed, in turn: 5.80, 6.30, 12.13, 4.15, 8.49, 9.80, 4.09, 2.39, 7.01, 9.30, 13.14, 7.49 g/cm3.
The evaluated volume for the records listed, in turn: 13.2, 18.0, 21.5, 19.6, 30.5, 25.7, 16.2, 16.6, 15.5, 21.7, 17.3, 33.5 Å³ per atom.